Here is a geometry-optimized AgGe2Pd2 structure from Alexandria via LeMat-Bulk. Energies are from GGA-PBE.

Its volume is 166.7 Å³ per cell. The spin magnetization comes out at 0.00 μB/atom. The density of states at the Fermi level is 0.348 states/eV per atom. The crystal system is tetragonal. For the energy above the most stable polymorph in this dataset, the calculation gives 0.0 meV/atom.

The space group is P4/mbm (No. 127) and the conventional cell measures 7.321, 7.321 and 3.111 Å, with angles of 90.00, 90.00 and 90.00 degrees. Symmetry generates all atoms from Ag at (0.000, 0.000, 0.000), Ge at (0.149, 0.351, 0.000) and Pd at (0.146, 0.646, 0.500).